[1]
# Sc2FeNi

A relaxed structure of Sc2FeNi (PBE, the Alexandria database).

Lattice parameters (Å, degrees): 9.9083 2.9416 4.6982 90.00 107.66 90.00
Closest atoms and distances in Å follow each position.
Space group Cm (No. 8)
One atom of each set of equivalent atoms:
Sc1 0.0000 0.0000 0.0000 [2 per cell]  3 Ni 2.76-2.78, 4 Fe 2.80-2.84, 4 Sc 2.94-3.06
Sc2 0.2056 0.0000 0.6275 [2 per cell]  3 Fe 2.70-2.85, 4 Ni 2.76-2.84, 2 Sc 2.94
Fe1 0.4466 0.0000 0.4710 [2 per cell]  2 Ni 2.55, 7 Sc 2.70-2.85
Ni1 0.2496 0.5000 0.1450 [2 per cell]  2 Fe 2.55, 7 Sc 2.76-2.84

**Magnetic moment**: 1.76 μB per formula unit
**Formation enthalpy at 0 K**: -0.13 eV per atom



[2]
# ScFeNi

A relaxed structure of ScFeNi (PBE, the Alexandria database).

Lattice parameters (Å, degrees): 4.8273 4.9809 7.0490 90.00 90.00 90.00
Closest atoms and distances in Å follow each position.
Space group Imma (No. 74)
One atom of each set of equivalent atoms:
Sc1 0.0000 0.2500 0.1221 [4 per cell]  6 Ni 2.85-2.94, 6 Fe 2.89-2.91, 4 Sc 3.01-3.03
Fe1 0.2500 0.2500 0.7500 [4 per cell]  2 Fe 2.41, 4 Ni 2.47
Ni1 0.0000 0.0000 0.5000 [4 per cell]  4 Fe 2.47, 2 Ni 2.49

**Magnetic moment**: 1.97 μB per formula unit
**Formation enthalpy at 0 K**: -0.35 eV per atom